Run 1
A plane-wave DFT calculation with PBE was carried out for an optimized crystal structure of SrCaLa2O.

Results
space-group type: No. 123
calculated volume: 30.773 Å³/atom
DOS(E_F): 4.75 states/eV per cell

a b c (Å): 5.1307 5.1307 5.8450
angles (deg): 90.00 90.00 90.00
With the nearest neighbours (Å) after each atom.
Atoms (fractional coordinates):
Sr: 0.0000 0.0000 0.5000  2 O 2.92
Ca: 0.5000 0.5000 0.5000  4 Sr 3.63, 8 La 3.89
O: 0.0000 0.0000 0.0000  4 La 2.57
La: 0.0000 0.5000 0.0000  2 O 2.57
La: 0.5000 0.0000 0.0000  2 O 2.57


Run 2
A plane-wave DFT calculation with PBE was carried out for an optimized crystal structure of SrCaLa2O.

Results
space-group type: No. 123
calculated volume: 30.900 Å³/atom
DOS(E_F): 6.47 states/eV per cell

a b c (Å): 5.1647 5.1647 5.7921
angles (deg): 90.00 90.00 90.00
With the nearest neighbours (Å) after each atom.
Atoms (fractional coordinates):
Sr: 0.5000 0.5000 0.5000  4 Ca 3.65, 8 La 3.88
Ca: 0.0000 0.0000 0.5000  2 O 2.90
O: 0.0000 0.0000 0.0000  4 La 2.58
La: 0.0000 0.5000 0.0000  2 O 2.58
La: 0.5000 0.0000 0.0000  2 O 2.58


Which structure is most stable? run 1, by 7.9 kJ/mol of atoms over the runner-up.


Run 1
A plane-wave DFT calculation with PBE was carried out for an optimized crystal structure of CaLa2YO.

Results
space-group type: No. 123
calculated volume: 27.820 Å³/atom
DOS(E_F): 6.01 states/eV per cell

a b c (Å): 5.4376 5.4376 4.7045
angles (deg): 90.00 90.00 90.00
With the nearest neighbours (Å) after each atom.
Atoms (fractional coordinates):
Y: 0.0000 0.0000 0.5000  2 O 2.35
Ca: 0.5000 0.5000 0.5000  8 La 3.60, 4 Y 3.84
O: 0.0000 0.0000 0.0000  2 Y 2.35
La: 0.0000 0.5000 0.0000  2 O 2.72
La: 0.5000 0.0000 0.0000  2 O 2.72


Run 2
A plane-wave DFT calculation with PBE was carried out for an optimized crystal structure of CaLa2YO.

Results
space-group type: No. 123
calculated volume: 27.354 Å³/atom
DOS(E_F): 7.36 states/eV per cell

a b c (Å): 5.2744 5.2744 4.9163
angles (deg): 90.00 90.00 90.00
With the nearest neighbours (Å) after each atom.
Atoms (fractional coordinates):
Y: 0.5000 0.5000 0.5000  8 La 3.61, 4 Ca 3.73
Ca: 0.0000 0.0000 0.5000  2 O 2.46
O: 0.0000 0.0000 0.0000  2 Ca 2.46, 4 La 2.64
La: 0.0000 0.5000 0.0000  2 O 2.64
La: 0.5000 0.0000 0.0000  2 O 2.64


Which structure is most stable? run 1, by 4.0 kJ/mol of atoms over the runner-up.


Run 1
A plane-wave DFT calculation with PBE was carried out for an optimized crystal structure of CaLa3Os.

Results
space-group type: No. 160
calculated volume: 34.796 Å³/atom
DOS(E_F): 7.03 states/eV per cell

a b c (Å): 5.6186 5.6186 5.6186
angles (deg): 83.28 83.28 83.28
With the nearest neighbours (Å) after each atom.
Atoms (fractional coordinates):
Ca: 0.4700 0.4700 0.4700  1 Os 2.78
Os: 0.2125 0.2125 0.2125  3 La 2.65, 1 Ca 2.78
La: 0.9011 0.3903 0.9011  1 Os 2.65
La: 0.3903 0.9011 0.9011  1 Os 2.65
La: 0.9011 0.9011 0.3903  1 Os 2.65


Run 2
A plane-wave DFT calculation with PBE was carried out for an optimized crystal structure of CaLa3Os.

Results
space-group type: No. 63
calculated volume: 43.274 Å³/atom
DOS(E_F): 14.98 states/eV per cell

a b c (Å): 9.8557 9.8557 5.1590
angles (deg): 90.00 90.00 120.28
With the nearest neighbours (Å) after each atom.
Atoms (fractional coordinates):
Ca: 0.1979 0.8021 0.2500  4 La 3.62-4.02
Ca: 0.8021 0.1979 0.7500  4 La 3.62-4.02
Os: 0.5144 0.4856 0.2500  2 Os 2.63, 2 La 2.66
Os: 0.4856 0.5144 0.7500  2 Os 2.63, 2 La 2.66
La: 0.2128 0.4024 0.2500  1 Os 2.66
La: 0.5976 0.7872 0.2500  1 Os 2.66
La: 0.4024 0.2128 0.7500  1 Os 2.66
La: 0.7872 0.5976 0.7500  1 Os 2.66
La: 0.0000 0.0000 0.0000  2 La 2.58
La: 0.0000 0.0000 0.5000  2 La 2.58


Run 3
A plane-wave DFT calculation with PBE was carried out for an optimized crystal structure of CaLa3Os.

Results
space-group type: No. 194
calculated volume: 35.980 Å³/atom
DOS(E_F): 7.79 states/eV per cell

a b c (Å): 4.5284 4.5284 20.2603
angles (deg): 90.00 90.00 120.00
With the nearest neighbours (Å) after each atom.
Atoms (fractional coordinates):
Ca: 0.0000 0.0000 0.0000  6 La 3.84
Ca: 0.0000 0.0000 0.5000  6 La 3.84
Os: 0.3333 0.6667 0.7500  3 La 2.61
Os: 0.6667 0.3333 0.2500  3 La 2.61
La: 0.0000 0.0000 0.2500  3 Os 2.61
La: 0.0000 0.0000 0.7500  3 Os 2.61
La: 0.3333 0.6667 0.1390  3 Os 3.45, 3 La 3.45, 3 Ca 3.84
La: 0.3333 0.6667 0.3610  3 Os 3.45, 3 La 3.45, 3 Ca 3.84
La: 0.6667 0.3333 0.6390  3 Os 3.45, 3 La 3.45, 3 Ca 3.84
La: 0.6667 0.3333 0.8610  3 Os 3.45, 3 La 3.45, 3 Ca 3.84


Which structure is most stable? run 1, by 0.5 kJ/mol of atoms over the runner-up.


Run 1
A plane-wave DFT calculation with PBE was carried out for an optimized crystal structure of CaLa3Os.

Results
space-group type: No. 15
calculated volume: 35.341 Å³/atom
DOS(E_F): 13.46 states/eV per cell

a b c (Å): 14.1394 9.9373 9.9373
angles (deg): 82.54 124.55 55.45
With the nearest neighbours (Å) after each atom.
Atoms (fractional coordinates):
Ca: 0.1113 0.3183 0.2947  1 Os 2.90
Ca: 0.3887 0.7947 0.8183  1 Os 2.90
Ca: 0.8887 0.6817 0.7053  1 Os 2.90
Ca: 0.6113 0.2053 0.1817  1 Os 2.90
Os: 0.7500 0.1705 0.6705  6 La 2.72-3.04
Os: 0.2500 0.8295 0.3295  6 La 2.72-3.04
Os: 0.7500 0.5477 0.0477  4 La 2.75-2.84, 2 Ca 2.90
Os: 0.2500 0.4523 0.9523  4 La 2.75-2.84, 2 Ca 2.90
La: 0.4512 0.2492 0.3858  2 Os 2.84-2.93
La: 0.0488 0.8858 0.7492  2 Os 2.84-2.93
La: 0.5488 0.7508 0.6142  2 Os 2.84-2.93
La: 0.9512 0.1142 0.2508  2 Os 2.84-2.93
La: 0.9845 0.2008 0.9183  2 Os 2.72-3.04
La: 0.5155 0.4183 0.7008  2 Os 2.72-3.04
La: 0.0155 0.7992 0.0817  2 Os 2.72-3.04
La: 0.4845 0.5817 0.2992  2 Os 2.72-3.04
La: 0.6295 0.9218 0.9394  1 Os 2.75
La: 0.8705 0.4394 0.4218  1 Os 2.75
La: 0.3705 0.0782 0.0606  1 Os 2.75
La: 0.1295 0.5606 0.5782  1 Os 2.75


Run 2
A plane-wave DFT calculation with PBE was carried out for an optimized crystal structure of CaLa3Os.

Results
space-group type: No. 4
calculated volume: 37.790 Å³/atom
DOS(E_F): 12.00 states/eV per cell

a b c (Å): 5.7107 8.3556 7.9197
angles (deg): 90.00 90.00 90.00
With the nearest neighbours (Å) after each atom.
Atoms (fractional coordinates):
Ca: 0.7998 0.6498 0.9990  10 La 3.96-4.09, 2 Ca 4.18
Ca: 0.8001 0.1497 0.0010  10 La 3.96-4.09, 2 Ca 4.18
Os: 0.3010 0.6499 0.5005  6 La 2.83-2.86
Os: 0.2990 0.1499 0.4995  6 La 2.83-2.86
La: 0.3000 0.8997 0.2578  2 Os 2.83-2.84
La: 0.8007 0.6504 0.4993  2 Os 2.85-2.86
La: 0.3000 0.9002 0.7422  2 Os 2.83-2.84
La: 0.3000 0.3997 0.7421  2 Os 2.83-2.84
La: 0.7993 0.1503 0.5007  2 Os 2.85-2.86
La: 0.3000 0.4003 0.2579  2 Os 2.83-2.84


Which structure is most stable? run 2, by 5.3 kJ/mol of atoms over the runner-up.